Record 1
# PBE MgAlTe, relaxed
data_MgAlTe
_cell_length_a 5.0065
_cell_length_b 5.0065
_cell_length_c 5.0065
_cell_angle_alpha 60.00
_cell_angle_beta 60.00
_cell_angle_gamma 60.00
_symmetry_space_group_name_H-M 'P 1'
_symmetry_Int_Tables_number 1
_symmetry_space_group_name_Hall 'P 1'
loop_
_atom_site_label
_atom_site_type_symbol
_atom_site_fract_x
_atom_site_fract_y
_atom_site_fract_z
Mg1 Mg 0.0000 0.0000 0.0000
Al1 Al 0.5000 0.5000 0.5000
Te1 Te 0.2500 0.2500 0.2500
# Polymorph energy (0 for the lowest one)   406 meV per atom
# Total magnetization   0.00 μB/atom
# Space-group type   No. 216
# ρ   3.3 g cm⁻³
# Fermi-level density of states   0.4089 states/eV/atom
# Formation energy without anion corrections   0.15 eV per atom

---

Record 2
# PBE Rb2Cd2Cl7, relaxed
data_Rb2Cd2Cl7
_cell_length_a 6.6267
_cell_length_b 6.6267
_cell_length_c 7.6450
_cell_angle_alpha 90.00
_cell_angle_beta 90.00
_cell_angle_gamma 99.62
_symmetry_space_group_name_H-M 'P 1'
_symmetry_Int_Tables_number 1
_symmetry_space_group_name_Hall 'P 1'
loop_
_atom_site_label
_atom_site_type_symbol
_atom_site_fract_x
_atom_site_fract_y
_atom_site_fract_z
Rb1 Rb 0.2263 0.2263 0.0000
Rb2 Rb 0.7737 0.7737 0.0000
Cd1 Cd 0.2703 0.7297 0.5000
Cd2 Cd 0.7297 0.2703 0.5000
Cl1 Cl 0.0000 0.0000 0.5000
Cl2 Cl 0.0000 0.5000 0.2756
Cl3 Cl 0.0000 0.5000 0.7244
Cl4 Cl 0.5000 0.0000 0.2756
Cl5 Cl 0.5000 0.0000 0.7244
Cl6 Cl 0.5000 0.5000 0.2868
Cl7 Cl 0.5000 0.5000 0.7132
# Total magnetization   0.04 μB/atom
# Space-group type   No. 65
# ρ   3.2 g cm⁻³
# Fermi-level density of states   1.0210 states/eV/atom
# Formation energy without anion corrections   -1.14 eV per atom

---

Record 3
# PBE SmAl2OsO8, relaxed
data_SmAl2OsO8
_cell_length_a 4.7335
_cell_length_b 4.7335
_cell_length_c 6.6740
_cell_angle_alpha 97.03
_cell_angle_beta 97.03
_cell_angle_gamma 80.98
_symmetry_space_group_name_H-M 'P 1'
_symmetry_Int_Tables_number 1
_symmetry_space_group_name_Hall 'P 1'
loop_
_atom_site_label
_atom_site_type_symbol
_atom_site_fract_x
_atom_site_fract_y
_atom_site_fract_z
Sm1 Sm 0.0000 0.0000 0.0000
Al1 Al 0.4584 0.4584 0.7899
Al2 Al 0.5416 0.5416 0.2101
Os1 Os 0.0000 0.0000 0.5000
O1 O 0.2113 0.7747 0.7103
O2 O 0.2253 0.7887 0.2897
O3 O 0.2545 0.2545 0.5628
O4 O 0.3285 0.3285 0.0031
O5 O 0.6715 0.6715 0.9969
O6 O 0.7455 0.7455 0.4372
O7 O 0.7747 0.2113 0.7103
O8 O 0.7887 0.2253 0.2897
# Total magnetization   0.08 μB/atom
# Space-group type   No. 12
# ρ   6.0 g cm⁻³
# Fermi-level density of states   0.1168 states/eV/atom
# Formation energy without anion corrections   -2.20 eV per atom

---

Record 4
# PBE HfAgMo3, relaxed
data_HfAgMo3
_cell_length_a 4.7842
_cell_length_b 4.7842
_cell_length_c 4.7842
_cell_angle_alpha 90.00
_cell_angle_beta 90.00
_cell_angle_gamma 90.00
_symmetry_space_group_name_H-M 'P 1'
_symmetry_Int_Tables_number 1
_symmetry_space_group_name_Hall 'P 1'
loop_
_atom_site_label
_atom_site_type_symbol
_atom_site_fract_x
_atom_site_fract_y
_atom_site_fract_z
Hf1 Hf 0.0000 0.0000 0.0000
Ag1 Ag 0.5000 0.5000 0.5000
Mo1 Mo 0.0000 0.0000 0.5000
Mo2 Mo 0.0000 0.5000 0.0000
Mo3 Mo 0.5000 0.0000 0.0000
# Polymorph energy (0 for the lowest one)   0 meV per atom
# Energy relative to the elements   9.968 eV/f.u.
# Total magnetization   0.00 μB/atom
# Space-group type   No. 221
# ρ   8.7 g cm⁻³
# Fermi-level density of states   1.0008 states/eV/atom

---

Record 5
# PBE HfGaNi2, relaxed
data_HfGaNi2
_cell_length_a 4.1398
_cell_length_b 4.1398
_cell_length_c 3.3570
_cell_angle_alpha 90.00
_cell_angle_beta 90.00
_cell_angle_gamma 90.00
_symmetry_space_group_name_H-M 'P 1'
_symmetry_Int_Tables_number 1
_symmetry_space_group_name_Hall 'P 1'
loop_
_atom_site_label
_atom_site_type_symbol
_atom_site_fract_x
_atom_site_fract_y
_atom_site_fract_z
Hf1 Hf 0.0000 0.0000 0.0000
Ga1 Ga 0.5000 0.5000 0.0000
Ni1 Ni 0.0000 0.5000 0.5000
Ni2 Ni 0.5000 0.0000 0.5000
# Energy relative to the elements   -1.625 eV/f.u.
# Total magnetization   0.00 μB/atom
# Space-group type   No. 123
# ρ   10.6 g cm⁻³
# Fermi-level density of states   0.7936 states/eV/atom

---

Record 6
# PBE Zn5I3Cl12, relaxed
data_Zn5I3Cl12
_cell_length_a 14.2769
_cell_length_b 14.2769
_cell_length_c 14.2769
_cell_angle_alpha 109.47
_cell_angle_beta 109.47
_cell_angle_gamma 109.47
_symmetry_space_group_name_H-M 'P 1'
_symmetry_Int_Tables_number 1
_symmetry_space_group_name_Hall 'P 1'
loop_
_atom_site_label
_atom_site_type_symbol
_atom_site_fract_x
_atom_site_fract_y
_atom_site_fract_z
Zn1 Zn 0.0000 0.0000 0.0000
Zn2 Zn 0.0000 0.0000 0.5000
Zn3 Zn 0.0000 0.5000 0.0000
Zn4 Zn 0.0000 0.5000 0.5000
Zn5 Zn 0.1250 0.7500 0.8750
Zn6 Zn 0.1250 0.8750 0.2500
Zn7 Zn 0.2500 0.1250 0.8750
Zn8 Zn 0.2500 0.6250 0.3750
Zn9 Zn 0.3750 0.2500 0.6250
Zn10 Zn 0.3750 0.6250 0.7500
Zn11 Zn 0.5000 0.0000 0.0000
Zn12 Zn 0.5000 0.0000 0.5000
Zn13 Zn 0.5000 0.5000 0.0000
Zn14 Zn 0.5000 0.5000 0.5000
Zn15 Zn 0.6250 0.3750 0.2500
Zn16 Zn 0.6250 0.7500 0.3750
Zn17 Zn 0.7500 0.3750 0.6250
Zn18 Zn 0.7500 0.8750 0.1250
Zn19 Zn 0.8750 0.1250 0.7500
Zn20 Zn 0.8750 0.2500 0.1250
I1 I 0.1250 0.2500 0.3750
I2 I 0.1250 0.3750 0.7500
I3 I 0.2500 0.3750 0.1250
I4 I 0.2500 0.8750 0.6250
I5 I 0.3750 0.1250 0.2500
I6 I 0.3750 0.7500 0.1250
I7 I 0.6250 0.2500 0.8750
I8 I 0.6250 0.8750 0.7500
I9 I 0.7500 0.1250 0.3750
I10 I 0.7500 0.6250 0.8750
I11 I 0.8750 0.6250 0.2500
I12 I 0.8750 0.7500 0.6250
Cl1 Cl 0.0017 0.6831 0.1093
Cl2 Cl 0.0017 0.8186 0.8924
Cl3 Cl 0.0738 0.6814 0.6831
Cl4 Cl 0.0738 0.8924 0.3907
Cl5 Cl 0.1076 0.6093 0.9262
Cl6 Cl 0.1076 0.9983 0.1814
Cl7 Cl 0.1093 0.0017 0.6831
Cl8 Cl 0.1093 0.6076 0.4262
Cl9 Cl 0.1814 0.1076 0.9983
Cl10 Cl 0.1814 0.5738 0.1831
Cl11 Cl 0.1831 0.1814 0.5738
Cl12 Cl 0.1831 0.5017 0.6093
Cl13 Cl 0.3169 0.8907 0.9983
Cl14 Cl 0.3169 0.9262 0.3186
Cl15 Cl 0.3186 0.3169 0.9262
Cl16 Cl 0.3186 0.5017 0.3924
Cl17 Cl 0.3907 0.0738 0.8924
Cl18 Cl 0.3907 0.8169 0.4983
Cl19 Cl 0.3924 0.3186 0.5017
Cl20 Cl 0.3924 0.5738 0.8907
Cl21 Cl 0.4262 0.1093 0.6076
Cl22 Cl 0.4262 0.8169 0.8186
Cl23 Cl 0.4983 0.3907 0.8169
Cl24 Cl 0.4983 0.6076 0.6814
Cl25 Cl 0.5017 0.3924 0.3186
Cl26 Cl 0.5017 0.6093 0.1831
Cl27 Cl 0.5738 0.1831 0.1814
Cl28 Cl 0.5738 0.8907 0.3924
Cl29 Cl 0.6076 0.4262 0.1093
Cl30 Cl 0.6076 0.6814 0.4983
Cl31 Cl 0.6093 0.1831 0.5017
Cl32 Cl 0.6093 0.9262 0.1076
Cl33 Cl 0.6814 0.4983 0.6076
Cl34 Cl 0.6814 0.6831 0.0738
Cl35 Cl 0.6831 0.0738 0.6814
Cl36 Cl 0.6831 0.1093 0.0017
Cl37 Cl 0.8169 0.4983 0.3907
Cl38 Cl 0.8169 0.8186 0.4262
Cl39 Cl 0.8186 0.4262 0.8169
Cl40 Cl 0.8186 0.8924 0.0017
Cl41 Cl 0.8907 0.3924 0.5738
Cl42 Cl 0.8907 0.9983 0.3169
Cl43 Cl 0.8924 0.0017 0.8186
Cl44 Cl 0.8924 0.3907 0.0738
Cl45 Cl 0.9262 0.1076 0.6093
Cl46 Cl 0.9262 0.3186 0.3169
Cl47 Cl 0.9983 0.1814 0.1076
Cl48 Cl 0.9983 0.3169 0.8907
# Total magnetization   0.25 μB/atom
# Space-group type   No. 230
# ρ   3.4 g cm⁻³
# Fermi-level density of states   0.7088 states/eV/atom
# Formation energy without anion corrections   -0.55 eV per atom

---

Record 7
# PBE AgW2Au, relaxed
data_AgW2Au
_cell_length_a 5.4600
_cell_length_b 5.4600
_cell_length_c 5.4600
_cell_angle_alpha 146.86
_cell_angle_beta 127.36
_cell_angle_gamma 63.63
_symmetry_space_group_name_H-M 'P 1'
_symmetry_Int_Tables_number 1
_symmetry_space_group_name_Hall 'P 1'
loop_
_atom_site_label
_atom_site_type_symbol
_atom_site_fract_x
_atom_site_fract_y
_atom_site_fract_z
Ag1 Ag 0.0000 0.0000 0.0000
W1 W 0.5189 0.5189 0.0000
W2 W 0.7294 0.2294 0.5000
Au1 Au 0.2625 0.7625 0.5000
# Polymorph energy (0 for the lowest one)   326 meV per atom
# Energy relative to the elements   2.463 eV/f.u.
# Total magnetization   0.00 μB/atom
# Space-group type   No. 44
# ρ   16.0 g cm⁻³
# Fermi-level density of states   0.5646 states/eV/atom

---

Record 8
# PBE CaLa3Ir, relaxed
data_CaLa3Ir
_cell_length_a 9.9421
_cell_length_b 9.9421
_cell_length_c 7.2978
_cell_angle_alpha 95.29
_cell_angle_beta 95.29
_cell_angle_gamma 97.22
_symmetry_space_group_name_H-M 'P 1'
_symmetry_Int_Tables_number 1
_symmetry_space_group_name_Hall 'P 1'
loop_
_atom_site_label
_atom_site_type_symbol
_atom_site_fract_x
_atom_site_fract_y
_atom_site_fract_z
Ca1 Ca 0.0682 0.6881 0.8892
Ca2 Ca 0.3119 0.9318 0.6108
Ca3 Ca 0.6881 0.0682 0.3892
Ca4 Ca 0.9318 0.3119 0.1108
La1 La 0.0517 0.1943 0.6302
La2 La 0.1943 0.0517 0.1302
La3 La 0.1959 0.5582 0.4519
La4 La 0.3108 0.4346 0.0124
La5 La 0.4346 0.3108 0.5124
La6 La 0.4418 0.8041 0.0481
La7 La 0.5582 0.1959 0.9519
La8 La 0.5654 0.6892 0.4876
La9 La 0.6892 0.5654 0.9876
La10 La 0.8041 0.4418 0.5481
La11 La 0.8057 0.9483 0.8698
La12 La 0.9483 0.8057 0.3698
Ir1 Ir 0.2078 0.7922 0.2500
Ir2 Ir 0.4264 0.5736 0.7500
Ir3 Ir 0.5736 0.4264 0.2500
Ir4 Ir 0.7922 0.2078 0.7500
# Polymorph energy (0 for the lowest one)   56 meV per atom
# Energy relative to the elements   -1.471 eV/f.u.
# Total magnetization   0.00 μB/atom
# Space-group type   No. 15
# ρ   6.1 g cm⁻³
# Fermi-level density of states   1.3983 states/eV/atom

---

Question: Which formula does entry 3 have?
Answer: SmAl2OsO8